First-principles (GGA-PBE) data for a geometry-optimized LiLaMg4 structure, as listed in the Alexandria database.

Unit cell a=6.0794 b=6.0794 c=6.0794 alpha=60.00 beta=60.00 gamma=60.00
Fractional coordinates of all 6 atoms:
Li 0.0000 0.0000 0.0000
La 0.7500 0.7500 0.7500
Mg 0.8750 0.3750 0.3750
Mg 0.3750 0.3750 0.8750
Mg 0.3750 0.8750 0.3750
Mg 0.3750 0.3750 0.3750

Properties
As for the volume: 26.5 Å³ per atom. The calculation puts the polymorph energy (0 for the lowest one) at 0.0552 eV per atom.

First-principles (GGA-PBE) data for a geometry-optimized LiLaMg2 structure, as listed in the Alexandria database.

Unit cell a=5.5254 b=5.5254 c=6.2760 alpha=82.01 beta=82.01 gamma=33.96
Fractional coordinates of all 4 atoms:
La 0.5012 0.5012 0.5014
Li 0.7388 0.7388 0.7861
Mg 0.0023 0.0023 0.9989
Mg 0.2577 0.2577 0.2137

Properties
As for the volume: 26.5 Å³ per atom. The calculation puts the polymorph energy (0 for the lowest one) at 0.1028 eV per atom.

First-principles (GGA-PBE) data for a geometry-optimized NaLiLaMg structure, as listed in the Alexandria database.

Unit cell a=5.4932 b=5.4932 c=5.4932 alpha=60.00 beta=60.00 gamma=60.00
Fractional coordinates of all 4 atoms:
Na 0.0000 0.0000 0.0000
Mg 0.2500 0.2500 0.2500
Li 0.7500 0.7500 0.7500
La 0.5000 0.5000 0.5000

Properties
As for the volume: 29.3 Å³ per atom.

Number 1: formation enthalpy at 0 K -11 meV/atom. Number 2: formation enthalpy at 0 K 25 meV/atom. Number 3: formation enthalpy at 0 K 140 meV/atom.